## CdTc2Au (PBE-GGA)

Data for crystalline CdTc2Au at its relaxed geometry.

Summary:
- Formation enthalpy at 0 K: 404 meV/atom
- E: -5.827 eV/atom
- DOS at the Fermi energy: 0.885 states/eV per atom

Unit cell a=4.0754 b=4.0754 c=7.9055 alpha=90.00 beta=90.00 gamma=90.00
Space group I-4m2 (No. 119)
Unique sites:
Cd (0.0000, 0.0000, 0.0000) (multiplicity 2)
Tc (0.0000, 0.0000, 0.5000) (multiplicity 2)
Tc (0.0000, 0.5000, 0.7500) (multiplicity 2)
Au (0.0000, 0.5000, 0.2500) (multiplicity 2)

=====

## CdTc2Au (PBE-GGA)

Data for crystalline CdTc2Au at its relaxed geometry.

Summary:
- Formation enthalpy at 0 K: 507 meV/atom
- E: -5.724 eV/atom
- DOS at the Fermi energy: 1.298 states/eV per atom

Unit cell a=2.7212 b=2.7212 c=8.9608 alpha=90.00 beta=90.00 gamma=90.00
Space group P4/mmm (No. 123)
Unique sites:
Cd (0.0000, 0.0000, 0.0000) (multiplicity 1)
Tc (0.5000, 0.5000, 0.2566) (multiplicity 2)
Au (0.0000, 0.0000, 0.5000) (multiplicity 1)

=====

## CdTc2Au (PBE-GGA)

Data for crystalline CdTc2Au at its relaxed geometry.

Summary:
- Formation enthalpy at 0 K: 382 meV/atom
- E: -5.849 eV/atom
- DOS at the Fermi energy: 0.832 states/eV per atom

Unit cell a=3.1693 b=4.7681 c=9.0878 alpha=90.00 beta=90.00 gamma=90.00
Space group Imm2 (No. 44)
Unique sites:
Cd (0.0000, 0.0000, 0.0000) (multiplicity 2)
Tc (0.0000, 0.0000, 0.5293) (multiplicity 2)
Tc (0.0000, 0.5000, 0.2303) (multiplicity 2)
Au (0.0000, 0.5000, 0.7651) (multiplicity 2)

=====

## CdTc2Au (PBE-GGA)

Data for crystalline CdTc2Au at its relaxed geometry.

Summary:
- Formation enthalpy at 0 K: 467 meV/atom
- E: -5.764 eV/atom
- DOS at the Fermi energy: 1.301 states/eV per atom

Unit cell a=3.8412 b=3.8412 c=8.9914 alpha=90.00 beta=90.00 gamma=90.00
Space group I4/mmm (No. 139)
Unique sites:
Cd (0.0000, 0.0000, 0.0000) (multiplicity 2)
Tc (0.0000, 0.5000, 0.2500) (multiplicity 4)
Au (0.0000, 0.0000, 0.5000) (multiplicity 2)

=====

## CdTcAu3 (PBE-GGA)

Data for crystalline CdTcAu3 at its relaxed geometry.

Summary:
- Formation enthalpy at 0 K: 1000 meV/atom
- E: -3.223 eV/atom
- DOS at the Fermi energy: 0.786 states/eV per atom
- Energy above the most stable polymorph in this dataset: 0.000 eV per atom

Unit cell a=5.0910 b=5.0910 c=5.0910 alpha=90.00 beta=90.00 gamma=90.00
Space group Pm-3m (No. 221)
Unique sites:
Cd (0.0000, 0.0000, 0.0000) (multiplicity 1)
Tc (0.5000, 0.5000, 0.5000) (multiplicity 1)
Au (0.0000, 0.5000, 0.5000) (multiplicity 3)

=====

## CdTc2Au (PBE-GGA)

Data for crystalline CdTc2Au at its relaxed geometry.

Summary:
- Formation enthalpy at 0 K: 491 meV/atom
- E: -5.740 eV/atom
- DOS at the Fermi energy: 1.118 states/eV per atom

Unit cell a=2.8138 b=4.4802 c=5.3289 alpha=90.00 beta=90.00 gamma=90.00
Space group Pmmm (No. 47)
Unique sites:
Cd (0.0000, 0.0000, 0.0000) (multiplicity 1)
Tc (0.5000, 0.5000, 0.2285) (multiplicity 2)
Au (0.0000, 0.0000, 0.5000) (multiplicity 1)

=====

## CdTc2Au (PBE-GGA)

Data for crystalline CdTc2Au at its relaxed geometry.

Summary:
- Formation enthalpy at 0 K: 494 meV/atom
- E: -5.737 eV/atom
- DOS at the Fermi energy: 1.228 states/eV per atom

Unit cell a=5.4052 b=8.9642 c=2.7392 alpha=90.00 beta=90.00 gamma=90.00
Space group Cmmm (No. 65)
Unique sites:
Cd (0.0000, 0.0000, 0.0000) (multiplicity 2)
Tc (0.2500, 0.2500, 0.5000) (multiplicity 4)
Au (0.0000, 0.5000, 0.0000) (multiplicity 2)

=====

## CdTc2Au (PBE-GGA)

Data for crystalline CdTc2Au at its relaxed geometry.

Summary:
- Formation enthalpy at 0 K: 334 meV/atom
- E: -5.897 eV/atom
- DOS at the Fermi energy: 1.042 states/eV per atom

Unit cell a=9.2106 b=2.8080 c=5.1985 alpha=90.00 beta=97.70 gamma=90.00
Space group Cm (No. 8)
Unique sites:
Cd (0.0000, 0.0000, 0.0000) (multiplicity 2)
Tc (0.0012, 0.5000, 0.5223) (multiplicity 2)
Tc (0.2454, 0.0000, 0.6984) (multiplicity 2)
Au (0.2530, 0.5000, 0.2289) (multiplicity 2)

=====

## CdTc2Au (PBE-GGA)

Data for crystalline CdTc2Au at its relaxed geometry.

Summary:
- Formation enthalpy at 0 K: 424 meV/atom
- E: -5.807 eV/atom
- DOS at the Fermi energy: 1.198 states/eV per atom

Unit cell a=4.8157 b=2.8366 c=5.0832 alpha=90.00 beta=107.89 gamma=90.00
Space group P2/m (No. 10)
Unique sites:
Cd (0.0000, 0.0000, 0.0000) (multiplicity 1)
Tc (0.0000, 0.5000, 0.5000) (multiplicity 1)
Tc (0.5000, 0.0000, 0.5000) (multiplicity 1)
Au (0.5000, 0.5000, 0.0000) (multiplicity 1)

=====

## Cd3TcAu (PBE-GGA)

Data for crystalline Cd3TcAu at its relaxed geometry.

Summary:
- Formation enthalpy at 0 K: 977 meV/atom
- E: -2.301 eV/atom
- DOS at the Fermi energy: 0.581 states/eV per atom
- Energy above the most stable polymorph in this dataset: 0.000 eV per atom

Unit cell a=5.1864 b=5.1864 c=5.1864 alpha=90.00 beta=90.00 gamma=90.00
Space group Pm-3m (No. 221)
Unique sites:
Cd (0.0000, 0.0000, 0.5000) (multiplicity 3)
Tc (0.5000, 0.5000, 0.5000) (multiplicity 1)
Au (0.0000, 0.0000, 0.0000) (multiplicity 1)

=====

## CdTc2Au (PBE-GGA)

Data for crystalline CdTc2Au at its relaxed geometry.

Summary:
- Formation enthalpy at 0 K: 105 meV/atom
- E: -6.126 eV/atom
- DOS at the Fermi energy: 0.663 states/eV per atom

Unit cell a=2.9411 b=2.9411 c=7.9267 alpha=90.00 beta=90.00 gamma=90.00
Space group P4mm (No. 99)
Unique sites:
Cd (0.0000, 0.0000, 0.0000) (multiplicity 1)
Tc (0.0000, 0.0000, 0.4560) (multiplicity 1)
Tc (0.5000, 0.5000, 0.2726) (multiplicity 1)
Au (0.5000, 0.5000, 0.7232) (multiplicity 1)

=====

## Tl2CdTcAu (PBE-GGA)

Data for crystalline Tl2CdTcAu at its relaxed geometry.

Summary:
- Formation enthalpy at 0 K: 1232 meV/atom
- E: -2.626 eV/atom
- DOS at the Fermi energy: 0.788 states/eV per atom

Unit cell a=5.4988 b=5.4988 c=5.3147 alpha=90.00 beta=90.00 gamma=90.00
Space group P4/mmm (No. 123)
Unique sites:
Tl (0.0000, 0.5000, 0.0000) (multiplicity 2)
Cd (0.0000, 0.0000, 0.0000) (multiplicity 1)
Tc (0.0000, 0.0000, 0.5000) (multiplicity 1)
Au (0.5000, 0.5000, 0.5000) (multiplicity 1)

=====

## YCdTc2Au (PBE-GGA)

Data for crystalline YCdTc2Au at its relaxed geometry.

Summary:
- Formation enthalpy at 0 K: 1887 meV/atom
- E: -4.391 eV/atom
- DOS at the Fermi energy: 0.594 states/eV per atom

Unit cell a=4.9155 b=4.9155 c=5.5093 alpha=90.00 beta=90.00 gamma=90.00
Space group P4/mmm (No. 123)
Unique sites:
Y (0.0000, 0.0000, 0.0000) (multiplicity 1)
Cd (0.0000, 0.0000, 0.5000) (multiplicity 1)
Tc (0.0000, 0.5000, 0.0000) (multiplicity 2)
Au (0.5000, 0.5000, 0.5000) (multiplicity 1)

=====

## YCd2TcAu (PBE-GGA)

Data for crystalline YCd2TcAu at its relaxed geometry.

Summary:
- Formation enthalpy at 0 K: 542 meV/atom
- E: -3.846 eV/atom
- DOS at the Fermi energy: 0.785 states/eV per atom

Unit cell a=5.2192 b=5.2192 c=5.0212 alpha=90.00 beta=90.00 gamma=90.00
Space group P4/mmm (No. 123)
Unique sites:
Y (0.0000, 0.0000, 0.0000) (multiplicity 1)
Cd (0.0000, 0.5000, 0.5000) (multiplicity 2)
Tc (0.0000, 0.0000, 0.5000) (multiplicity 1)
Au (0.5000, 0.5000, 0.0000) (multiplicity 1)

=====

## CdTe2Au (PBE-GGA)

Data for crystalline CdTe2Au at its relaxed geometry.

Summary:
- E: -2.361 eV/atom
- Energy relative to the elements, uncorrected: 0.258 eV per atom
- DOS at the Fermi energy: 0.850 states/eV per atom

Unit cell a=3.6405 b=3.6405 c=7.5464 alpha=90.00 beta=90.00 gamma=90.00
Space group P4/mmm (No. 123)
Unique sites:
Cd (0.0000, 0.0000, 0.0000) (multiplicity 1)
Te (0.5000, 0.5000, 0.2667) (multiplicity 2)
Au (0.0000, 0.0000, 0.5000) (multiplicity 1)

=====

## Cd2TeAu2 (PBE-GGA)

Data for crystalline Cd2TeAu2 at its relaxed geometry.

Summary:
- E: -2.333 eV/atom
- Energy relative to the elements, uncorrected: -0.028 eV per atom
- DOS at the Fermi energy: 0.313 states/eV per atom
- Energy above the most stable polymorph in this dataset: 0.059 eV per atom

Unit cell a=8.4644 b=8.4644 c=3.1279 alpha=90.00 beta=90.00 gamma=90.00
Space group P4/mbm (No. 127)
Unique sites:
Cd (0.1782, 0.3218, 0.0000) (multiplicity 4)
Te (0.0000, 0.0000, 0.0000) (multiplicity 2)
Au (0.1185, 0.6185, 0.5000) (multiplicity 4)

=====

## CdTe2Au (PBE-GGA)

Data for crystalline CdTe2Au at its relaxed geometry.

Summary:
- E: -2.505 eV/atom
- Energy relative to the elements, uncorrected: 0.114 eV per atom
- DOS at the Fermi energy: 0.671 states/eV per atom

Unit cell a=3.1861 b=3.1861 c=10.5188 alpha=90.00 beta=90.00 gamma=90.00
Space group P4mm (No. 99)
Unique sites:
Cd (0.0000, 0.0000, 0.0000) (multiplicity 1)
Te (0.0000, 0.0000, 0.6006) (multiplicity 1)
Te (0.5000, 0.5000, 0.2477) (multiplicity 1)
Au (0.5000, 0.5000, 0.8274) (multiplicity 1)

=====

## CdTeAu3 (PBE-GGA)

Data for crystalline CdTeAu3 at its relaxed geometry.

Summary:
- E: -2.353 eV/atom
- Energy relative to the elements, uncorrected: 0.425 eV per atom
- DOS at the Fermi energy: 0.528 states/eV per atom
- Energy above the most stable polymorph in this dataset: 0.000 eV per atom

Unit cell a=5.3387 b=5.3387 c=5.3387 alpha=90.00 beta=90.00 gamma=90.00
Space group Pm-3m (No. 221)
Unique sites:
Cd (0.0000, 0.0000, 0.0000) (multiplicity 1)
Te (0.5000, 0.5000, 0.5000) (multiplicity 1)
Au (0.0000, 0.5000, 0.5000) (multiplicity 3)

=====

## Cd2Te2Au (PBE-GGA)

Data for crystalline Cd2Te2Au at its relaxed geometry.

Summary:
- E: -2.162 eV/atom
- Energy relative to the elements, uncorrected: 0.116 eV per atom
- DOS at the Fermi energy: 0.542 states/eV per atom
- Energy above the most stable polymorph in this dataset: 0.161 eV per atom

Unit cell a=7.8531 b=7.8531 c=4.1712 alpha=90.00 beta=90.00 gamma=90.00
Space group P4/mbm (No. 127)
Unique sites:
Cd (0.1389, 0.3611, 0.0000) (multiplicity 4)
Te (0.1718, 0.6718, 0.5000) (multiplicity 4)
Au (0.0000, 0.0000, 0.0000) (multiplicity 2)

=====

## CdTe2Au (PBE-GGA)

Data for crystalline CdTe2Au at its relaxed geometry.

Summary:
- E: -2.555 eV/atom
- Energy relative to the elements, uncorrected: 0.064 eV per atom
- DOS at the Fermi energy: 0.585 states/eV per atom

Unit cell a=4.0714 b=7.6417 c=8.0265 alpha=90.00 beta=90.00 gamma=90.00
Space group Cmmm (No. 65)
Unique sites:
Cd (0.0000, 0.0000, 0.0000) (multiplicity 2)
Te (0.0000, 0.5000, 0.2720) (multiplicity 4)
Au (0.0000, 0.0000, 0.5000) (multiplicity 2)

=====

## Cd2TeAu2 (PBE-GGA)

Data for crystalline Cd2TeAu2 at its relaxed geometry.

Summary:
- E: -2.392 eV/atom
- Energy relative to the elements, uncorrected: -0.086 eV per atom
- DOS at the Fermi energy: 0.483 states/eV per atom
- Energy above the most stable polymorph in this dataset: 0.000 eV per atom

Unit cell a=3.9900 b=3.9900 c=14.6446 alpha=90.00 beta=90.00 gamma=90.00
Space group I4/mmm (No. 139)
Unique sites:
Cd (0.0000, 0.0000, 0.1032) (multiplicity 4)
Te (0.0000, 0.0000, 0.5000) (multiplicity 2)
Au (0.0000, 0.5000, 0.2500) (multiplicity 4)

=====

## CdTe2Au (PBE-GGA)

Data for crystalline CdTe2Au at its relaxed geometry.

Summary:
- E: -2.720 eV/atom
- Energy relative to the elements, uncorrected: -0.101 eV per atom
- DOS at the Fermi energy: 0.344 states/eV per atom

Unit cell a=8.2210 b=4.2282 c=6.8604 alpha=90.00 beta=110.68 gamma=90.00
Space group Cm (No. 8)
Unique sites:
Cd (0.0000, 0.0000, 0.0000) (multiplicity 2)
Te (0.0298, 0.5000, 0.4025) (multiplicity 2)
Te (0.2362, 0.0000, 0.7861) (multiplicity 2)
Au (0.2872, 0.5000, 0.2439) (multiplicity 2)

=====

## CdTe2Au (PBE-GGA)

Data for crystalline CdTe2Au at its relaxed geometry.

Summary:
- E: -2.507 eV/atom
- Energy relative to the elements, uncorrected: 0.112 eV per atom
- DOS at the Fermi energy: 0.571 states/eV per atom

Unit cell a=4.1754 b=4.8630 c=10.4414 alpha=90.00 beta=90.00 gamma=90.00
Space group Cmm2 (No. 35)
Unique sites:
Cd (0.0000, 0.0000, 0.0000) (multiplicity 2)
Te (0.0000, 0.0000, 0.5979) (multiplicity 2)
Te (0.0000, 0.5000, 0.2461) (multiplicity 2)
Au (0.0000, 0.5000, 0.8204) (multiplicity 2)

=====

## Cd2Te2Au (PBE-GGA)

Data for crystalline Cd2Te2Au at its relaxed geometry.

Summary:
- E: -2.065 eV/atom
- Energy relative to the elements, uncorrected: 0.213 eV per atom
- DOS at the Fermi energy: 0.434 states/eV per atom
- Energy above the most stable polymorph in this dataset: 0.258 eV per atom

Unit cell a=4.3353 b=4.3353 c=15.2696 alpha=90.00 beta=90.00 gamma=90.00
Space group I4/mmm (No. 139)
Unique sites:
Cd (0.0000, 0.0000, 0.0889) (multiplicity 4)
Te (0.0000, 0.5000, 0.2500) (multiplicity 4)
Au (0.0000, 0.0000, 0.5000) (multiplicity 2)

=====

## CdTe2Au (PBE-GGA)

Data for crystalline CdTe2Au at its relaxed geometry.

Summary:
- E: -2.625 eV/atom
- Energy relative to the elements, uncorrected: -0.007 eV per atom
- DOS at the Fermi energy: 0.521 states/eV per atom

Unit cell a=4.0808 b=4.6487 c=11.7322 alpha=90.00 beta=90.00 gamma=90.00
Space group Immm (No. 71)
Unique sites:
Cd (0.0000, 0.0000, 0.0000) (multiplicity 2)
Te (0.0000, 0.0000, 0.2687) (multiplicity 4)
Au (0.0000, 0.0000, 0.5000) (multiplicity 2)

=====

## CdTe2Au (PBE-GGA)

Data for crystalline CdTe2Au at its relaxed geometry.

Summary:
- E: -2.668 eV/atom
- Energy relative to the elements, uncorrected: -0.049 eV per atom
- DOS at the Fermi energy: 0.649 states/eV per atom

Unit cell a=4.1598 b=4.1598 c=21.6378 alpha=90.00 beta=90.00 gamma=120.00
Space group R3m (No. 160, hexagonal axes)
Unique sites:
Cd (0.0000, 0.0000, 0.0000) (multiplicity 3)
Te (0.0000, 0.0000, 0.5753) (multiplicity 3)
Te (0.0000, 0.0000, 0.7586) (multiplicity 3)
Au (0.0000, 0.0000, 0.1687) (multiplicity 3)

=====

## Cd2Te2Au (PBE-GGA)

Data for crystalline Cd2Te2Au at its relaxed geometry.

Summary:
- E: -2.323 eV/atom
- Energy relative to the elements, uncorrected: -0.045 eV per atom
- DOS at the Fermi energy: 0.401 states/eV per atom
- Energy above the most stable polymorph in this dataset: 0.000 eV per atom

Unit cell a=8.0978 b=8.0978 c=4.4249 alpha=90.00 beta=90.00 gamma=90.00
Space group P4/mbm (No. 127)
Unique sites:
Cd (0.1207, 0.3793, 0.0000) (multiplicity 4)
Te (0.2171, 0.7171, 0.5000) (multiplicity 4)
Au (0.0000, 0.0000, 0.5000) (multiplicity 2)

=====

## CdTe2Au (PBE-GGA)

Data for crystalline CdTe2Au at its relaxed geometry.

Summary:
- E: -2.424 eV/atom
- Energy relative to the elements, uncorrected: 0.195 eV per atom
- DOS at the Fermi energy: 0.557 states/eV per atom

Unit cell a=5.7377 b=5.7377 c=3.1022 alpha=90.00 beta=90.00 gamma=90.00
Space group P4/mmm (No. 123)
Unique sites:
Cd (0.0000, 0.0000, 0.0000) (multiplicity 1)
Te (0.0000, 0.5000, 0.5000) (multiplicity 2)
Au (0.5000, 0.5000, 0.0000) (multiplicity 1)

=====

## CdTe2Au (PBE-GGA)

Data for crystalline CdTe2Au at its relaxed geometry.

Summary:
- E: -2.526 eV/atom
- Energy relative to the elements, uncorrected: 0.093 eV per atom
- DOS at the Fermi energy: 0.760 states/eV per atom

Unit cell a=4.0843 b=4.0843 c=13.3862 alpha=90.00 beta=90.00 gamma=90.00
Space group I-4m2 (No. 119)
Unique sites:
Cd (0.0000, 0.0000, 0.0000) (multiplicity 2)
Te (0.0000, 0.0000, 0.5000) (multiplicity 2)
Te (0.0000, 0.5000, 0.7500) (multiplicity 2)
Au (0.0000, 0.5000, 0.2500) (multiplicity 2)